Entry from Alexandria via LeMat-Bulk: a relaxed ZrAl2ZnPt crystal (PBE).

## Properties
Magnetic moment, μB per formula unit: 0.00
Space group: No. 123
Energy above the most stable polymorph in this dataset, eV per formula unit: 4.877
Uncorrected energy, eV/atom: -3.355
ΔE_f, eV/atom: 1.31

CIF file:
```
data_ZrAl2ZnPt
_space_group_name_H-M_alt 'P 1'
_space_group_IT_number 1
_cell_length_a 5.128
_cell_length_b 5.128
_cell_length_c 4.916
_cell_angle_alpha 90.00
_cell_angle_beta 90.00
_cell_angle_gamma 90.00
loop_
_space_group_symop_operation_xyz
'x,y,z'
loop_
_atom_site_label
_atom_site_type_symbol
_atom_site_fract_x
_atom_site_fract_y
_atom_site_fract_z
Zr1 Zr 0.000 0.000 0.000
Al1 Al 0.000 0.500 0.000
Al2 Al 0.500 0.000 0.000
Zn1 Zn 0.000 0.000 0.500
Pt1 Pt 0.500 0.500 0.500
```